Density functional theory data (SCAN) for SrLi2Br at its PBEsol-relaxed geometry.

Unit cell a=3.941 b=4.132 c=7.103 alpha=106.91 beta=90.00 gamma=90.00
Atoms (fractional coordinates):
Sr: 0.000 0.920 0.839
Br: 0.500 0.311 0.621
Li: 0.000 0.162 0.325
Li: 0.500 0.589 0.177

Computed properties:
**E above lowest polymorph**: 0 meV per atom
**ρ**: 2.722 Mg/m³
**Energy**: -12.327 eV per atom
**Space group**: Amm2 (38)